[1]
Here is a relaxed structure of PbBrF2 from Alexandria via LeMat-Bulk. Energies are from GGA-PBEsol.

Computed properties:
Crystal system ... tetragonal
Uncorrected formation energy ... -1.26 eV per atom
Calculated total energy ... -3.689 eV/atom

a = 4.5589 Å, b = 4.5589 Å, c = 15.8049 Å
α = 90.00°, β = 90.00°, γ = 90.00°
With the nearest neighbours (Å) after each atom.
Space group I-42d (No. 122)
Inequivalent atoms, fractional coordinates:
Pb  0.0000  0.0000  0.0000 [4 per cell]  4 F 2.42
Br  0.0000  0.0000  0.5000 [4 per cell]  4 F 2.71
F  0.1804  0.2500  0.1250 [8 per cell]  2 Pb 2.42, 2 Br 2.71

[2]
Here is a relaxed structure of PbSe2BrF from Alexandria via LeMat-Bulk. Energies are from GGA-PBEsol.

Computed properties:
Crystal system ... tetragonal
Uncorrected formation energy ... 0.39 eV per atom
Calculated total energy ... -2.705 eV/atom

a = 5.5001 Å, b = 5.5001 Å, c = 5.5240 Å
α = 90.00°, β = 90.00°, γ = 90.00°
With the nearest neighbours (Å) after each atom.
Space group P4/mmm (No. 123)
Inequivalent atoms, fractional coordinates:
Pb  0.0000  0.0000  0.0000 [1 per cell]  4 Se 2.75, 2 Br 2.76
Se  0.0000  0.5000  0.0000 [2 per cell]  2 Pb 2.75
Br  0.0000  0.0000  0.5000 [1 per cell]  2 Pb 2.76
F  0.5000  0.5000  0.5000 [1 per cell]  4 Br 3.89, 8 Se 3.90

[3]
Here is a relaxed structure of Ta2PbBrF from Alexandria via LeMat-Bulk. Energies are from GGA-PBEsol.

Computed properties:
Crystal system ... tetragonal
Uncorrected formation energy ... 1.97 eV per atom
Calculated total energy ... -4.611 eV/atom

a = 5.3765 Å, b = 5.3765 Å, c = 5.5579 Å
α = 90.00°, β = 90.00°, γ = 90.00°
With the nearest neighbours (Å) after each atom.
Space group P4/mmm (No. 123)
Inequivalent atoms, fractional coordinates:
Ta  0.0000  0.5000  0.0000 [2 per cell]  2 Pb 2.69
Pb  0.0000  0.0000  0.0000 [1 per cell]  4 Ta 2.69, 2 Br 2.78
Br  0.0000  0.0000  0.5000 [1 per cell]  2 Pb 2.78
F  0.5000  0.5000  0.5000 [1 per cell]  4 Br 3.80, 8 Ta 3.87

[4]
Here is a relaxed structure of TcPd2BrF from Alexandria via LeMat-Bulk. Energies are from GGA-PBEsol.

Computed properties:
Crystal system ... tetragonal
Uncorrected formation energy ... 0.78 eV per atom
Calculated total energy ... -4.621 eV/atom

a = 4.7553 Å, b = 4.7553 Å, c = 4.6562 Å
α = 90.00°, β = 90.00°, γ = 90.00°
With the nearest neighbours (Å) after each atom.
Space group P4/mmm (No. 123)
Inequivalent atoms, fractional coordinates:
Tc  0.0000  0.0000  0.0000 [1 per cell]  2 Br 2.33, 4 Pd 2.38
Pd  0.0000  0.5000  0.0000 [2 per cell]  2 Tc 2.38
Br  0.0000  0.0000  0.5000 [1 per cell]  2 Tc 2.33
F  0.5000  0.5000  0.5000 [1 per cell]  8 Pd 3.33, 4 Br 3.36

[5]
Here is a relaxed structure of PtBrF2 from Alexandria via LeMat-Bulk. Energies are from GGA-PBEsol.

Computed properties:
Crystal system ... trigonal
Uncorrected formation energy ... -0.01 eV per atom
ΔE to the lowest computed polymorph ... 536 meV per atom
Calculated total energy ... -3.181 eV/atom

a = 2.8477 Å, b = 2.8477 Å, c = 25.3471 Å
α = 90.00°, β = 90.00°, γ = 120.00°
With the nearest neighbours (Å) after each atom.
Space group R-3m (No. 166, hexagonal axes)
Inequivalent atoms, fractional coordinates:
Pt  0.0000  0.0000  0.0000 [3 per cell]  6 F 2.84, 6 Pt 2.85
Br  0.0000  0.0000  0.5000 [3 per cell]  2 F 1.91
F  0.0000  0.0000  0.4245 [6 per cell]  1 Br 1.91

[6]
Here is a relaxed structure of PtBrF2 from Alexandria via LeMat-Bulk. Energies are from GGA-PBEsol.

Computed properties:
Crystal system ... trigonal
Uncorrected formation energy ... -0.55 eV per atom
ΔE to the lowest computed polymorph ... 0 meV per atom
Calculated total energy ... -3.717 eV/atom

a = 2.7871 Å, b = 2.7871 Å, c = 28.7336 Å
α = 90.00°, β = 90.00°, γ = 120.00°
With the nearest neighbours (Å) after each atom.
Space group R-3m (No. 166, hexagonal axes)
Inequivalent atoms, fractional coordinates:
Pt  0.0000  0.0000  0.0000 [3 per cell]  2 F 1.90
Br  0.0000  0.0000  0.5000 [3 per cell]  6 Br 2.79
F  0.0000  0.0000  0.0660 [6 per cell]  1 Pt 1.90

[7]
Here is a relaxed structure of RbBrF4 from Alexandria via LeMat-Bulk. Energies are from GGA-PBEsol.

Computed properties:
Crystal system ... tetragonal
Uncorrected formation energy ... -1.62 eV per atom
Calculated total energy ... -3.390 eV/atom

a = 6.9573 Å, b = 6.9573 Å, c = 10.3404 Å
α = 90.00°, β = 90.00°, γ = 90.00°
With the nearest neighbours (Å) after each atom.
Space group I4/mcm (No. 140)
Inequivalent atoms, fractional coordinates:
Rb  0.0000  0.0000  0.0000 [4 per cell]  8 F 2.97
Br  0.0000  0.5000  0.0000 [4 per cell]  4 F 1.91
F  0.1431  0.3569  0.1254 [16 per cell]  1 Br 1.91

[8]
Here is a relaxed structure of RbZrBrF2 from Alexandria via LeMat-Bulk. Energies are from GGA-PBEsol.

Computed properties:
Crystal system ... tetragonal
Uncorrected formation energy ... 0.27 eV per atom
Calculated total energy ... -2.903 eV/atom

a = 5.0344 Å, b = 5.0344 Å, c = 5.7369 Å
α = 90.00°, β = 90.00°, γ = 90.00°
With the nearest neighbours (Å) after each atom.
Space group P4/mmm (No. 123)
Inequivalent atoms, fractional coordinates:
Rb  0.0000  0.0000  0.0000 [1 per cell]  2 Br 2.87
Zr  0.5000  0.5000  0.0000 [1 per cell]  4 Rb 3.56, 8 F 3.82
Br  0.0000  0.0000  0.5000 [1 per cell]  4 F 2.52
F  0.0000  0.5000  0.5000 [2 per cell]  2 Br 2.52

[9]
Here is a relaxed structure of ReBr2F from Alexandria via LeMat-Bulk. Energies are from GGA-PBEsol.

Computed properties:
Crystal system ... cubic
Uncorrected formation energy ... 0.19 eV per atom
Calculated total energy ... -4.562 eV/atom

a = 6.1557 Å, b = 6.1557 Å, c = 6.1557 Å
α = 90.00°, β = 90.00°, γ = 90.00°
With the nearest neighbours (Å) after each atom.
Space group Fm-3m (No. 225)
Inequivalent atoms, fractional coordinates:
Re  0.0000  0.0000  0.0000 [4 per cell]  8 Br 2.67
Br  0.2500  0.2500  0.2500 [8 per cell]  4 F 2.67, 4 Re 2.67
F  0.0000  0.0000  0.5000 [4 per cell]  8 Br 2.67

[10]
Here is a relaxed structure of RuBr3F from Alexandria via LeMat-Bulk. Energies are from GGA-PBEsol.

Computed properties:
Crystal system ... cubic
Uncorrected formation energy ... 0.99 eV per atom
Calculated total energy ... -2.549 eV/atom

a = 4.7751 Å, b = 4.7751 Å, c = 4.7751 Å
α = 90.00°, β = 90.00°, γ = 90.00°
With the nearest neighbours (Å) after each atom.
Space group Pm-3m (No. 221)
Inequivalent atoms, fractional coordinates:
Ru  0.0000  0.0000  0.0000 [1 per cell]  12 Br 3.38
Br  0.0000  0.5000  0.5000 [3 per cell]  2 F 2.39
F  0.5000  0.5000  0.5000 [1 per cell]  6 Br 2.39

[11]
Here is a relaxed structure of RuBr2F from Alexandria via LeMat-Bulk. Energies are from GGA-PBEsol.

Computed properties:
Crystal system ... cubic
Uncorrected formation energy ... -0.04 eV per atom
ΔE to the lowest computed polymorph ... 0 meV per atom
Calculated total energy ... -3.999 eV/atom

a = 6.1741 Å, b = 6.1741 Å, c = 6.1741 Å
α = 90.00°, β = 90.00°, γ = 90.00°
With the nearest neighbours (Å) after each atom.
Space group Fm-3m (No. 225)
Inequivalent atoms, fractional coordinates:
Ru  0.0000  0.0000  0.0000 [4 per cell]  8 Br 2.67
Br  0.2500  0.2500  0.2500 [8 per cell]  4 F 2.67, 4 Ru 2.67
F  0.0000  0.0000  0.5000 [4 per cell]  8 Br 2.67

[12]
Here is a relaxed structure of RuBr2F from Alexandria via LeMat-Bulk. Energies are from GGA-PBEsol.

Computed properties:
Crystal system ... tetragonal
Uncorrected formation energy ... -0.01 eV per atom
ΔE to the lowest computed polymorph ... 25 meV per atom
Calculated total energy ... -3.974 eV/atom

a = 6.4965 Å, b = 6.4965 Å, c = 7.7458 Å
α = 90.00°, β = 90.00°, γ = 90.00°
With the nearest neighbours (Å) after each atom.
Space group I-42d (No. 122)
Inequivalent atoms, fractional coordinates:
Ru  0.0000  0.0000  0.0000 [4 per cell]  4 Br 2.35
Br  0.2145  0.2500  0.1250 [8 per cell]  2 Ru 2.35
F  0.0000  0.0000  0.5000 [4 per cell]  4 Br 2.65

Among the records above, which one has the lowest calculated total energy?
TcPd2BrF

Look up the uncorrected formation energy of the sixth one.
-0.55 eV per atom

calculated total energy of number 5 (PtBrF2)?
-3.181 eV/atom

Repeat the third record exactly.
Here is a relaxed structure of Ta2PbBrF from Alexandria via LeMat-Bulk. Energies are from GGA-PBEsol.

Computed properties:
Crystal system ... tetragonal
Uncorrected formation energy ... 1.97 eV per atom
Calculated total energy ... -4.611 eV/atom

a = 5.3765 Å, b = 5.3765 Å, c = 5.5579 Å
α = 90.00°, β = 90.00°, γ = 90.00°
With the nearest neighbours (Å) after each atom.
Space group P4/mmm (No. 123)
Inequivalent atoms, fractional coordinates:
Ta  0.0000  0.5000  0.0000 [2 per cell]  2 Pb 2.69
Pb  0.0000  0.0000  0.0000 [1 per cell]  4 Ta 2.69, 2 Br 2.78
Br  0.0000  0.0000  0.5000 [1 per cell]  2 Pb 2.78
F  0.5000  0.5000  0.5000 [1 per cell]  4 Br 3.80, 8 Ta 3.87